Material: NaGaCl3
Method: DFT, PBE-GGA
State: relaxed

Output
* crystal system: cubic
* raw formation energy: -0.658 eV per atom
* VASP energy: -2.6353 eV/atom
* magnetic moment: 0.200 μB per atom

abc: 5.268 5.268 5.268
angles: 90.00 90.00 90.00
Space group Pm-3m (No. 221)
One atom of each set of equivalent atoms:
Na: 0.000 0.000 0.000
Ga: 0.500 0.500 0.500
Cl: 0.000 0.000 0.500

Material: NaGa2Cl8
Method: DFT, PBE-GGA
State: relaxed

Output
* crystal system: monoclinic
* raw formation energy: -1.078 eV per atom
* VASP energy: -3.0912 eV/atom
* magnetic moment: 0.108 μB per atom

abc: 15.508 7.277 6.399
angles: 90.00 97.06 90.00
Space group C2/m (No. 12)
One atom of each set of equivalent atoms:
Na: 0.000 0.000 0.000
Ga: 0.159 0.000 0.632
Cl: 0.089 0.241 0.736
Cl: 0.159 0.000 0.287
Cl: 0.206 0.500 0.219

Material: NaGaCl2
Method: DFT, PBE-GGA
State: relaxed

Output
* crystal system: tetragonal
* raw formation energy: -1.169 eV per atom
* energy above the lowest structure with this stoichiometry: 63 meV/atom
* VASP energy: -3.1787 eV/atom
* magnetic moment: 0.000 μB per atom

abc: 6.543 6.543 12.802
angles: 90.00 90.00 90.00
Space group I-42d (No. 122)
One atom of each set of equivalent atoms:
Na: 0.000 0.000 0.000
Ga: 0.000 0.000 0.500
Cl: 0.224 0.250 0.125